No. 1
MgIn3 | Alexandria via LeMat-Bulk | PBEsol | relaxed; electronic total energy = -2.661 eV/atom; formation energy from the elements = 6 meV per atom; DOS at the Fermi energy = 0.47 states/eV per atom; space-group type = P6_3cm (185)
1.0
8.657 0.000 0.000
-4.328 7.497 0.000
0.000 0.000 9.279
Mg In
6 18
Direct
0.000 0.337 0.000
0.000 0.663 0.500
0.337 0.000 0.000
0.337 0.337 0.500
0.663 0.000 0.500
0.663 0.663 0.000
0.000 0.000 0.078
0.000 0.000 0.578
0.000 0.268 0.326
0.000 0.374 0.666
0.000 0.626 0.166
0.000 0.732 0.826
0.268 0.000 0.326
0.268 0.268 0.826
0.333 0.667 0.383
0.333 0.667 0.883
0.374 0.000 0.666
0.374 0.374 0.166
0.626 0.000 0.166
0.626 0.626 0.666
0.667 0.333 0.383
0.667 0.333 0.883
0.732 0.000 0.826
0.732 0.732 0.326


No. 2
SrTl2Zn2 | Alexandria via LeMat-Bulk | PBEsol | relaxed; electronic total energy = -2.220 eV/atom; relative energy among the computed polymorphs = 0.0471 eV/atom; formation energy from the elements = -167 meV per atom; DOS at the Fermi energy = 0.40 states/eV per atom; space-group type = I4/mmm (139)
1.0
-2.261 2.261 5.955
2.261 -2.261 5.955
2.261 2.261 -5.955
Sr Tl Zn
1 2 2
Direct
0.000 0.000 0.000
0.377 0.377 0.000
0.623 0.623 0.000
0.250 0.750 0.500
0.750 0.250 0.500


No. 3
HgRhSe2N | Alexandria via LeMat-Bulk | PBEsol | relaxed; electronic total energy = -3.302 eV/atom; relative energy among the computed polymorphs = 1.3297 eV/atom; formation energy without anion corrections = 1.68 eV per atom; DOS at the Fermi energy = 0.94 states/eV per atom; space-group type = P4/mmm (123)
1.0
5.181 0.000 0.000
0.000 5.181 0.000
0.000 0.000 3.905
Hg Rh Se N
1 1 2 1
Direct
0.000 0.000 0.000
0.500 0.500 0.500
0.000 0.500 0.000
0.500 0.000 0.000
0.000 0.000 0.500


No. 4
Tl2As | Alexandria via LeMat-Bulk | PBEsol | relaxed; electronic total energy = -3.390 eV/atom; relative energy among the computed polymorphs = 0.0170 eV/atom; formation energy from the elements = 66 meV per atom; DOS at the Fermi energy = 0.38 states/eV per atom; space-group type = I4/mcm (140)
1.0
-3.713 3.713 2.848
3.713 -3.713 2.848
3.713 3.713 -2.848
Tl As
4 2
Direct
0.154 0.654 0.809
0.346 0.154 0.500
0.654 0.846 0.500
0.846 0.346 0.191
0.250 0.250 0.000
0.750 0.750 0.000


No. 5
TaAg2As | Alexandria via LeMat-Bulk | PBEsol | relaxed; electronic total energy = -5.897 eV/atom; formation energy from the elements = 173 meV per atom; DOS at the Fermi energy = 0.42 states/eV per atom; space-group type = C2/m (12)
1.0
2.642 -5.070 0.000
2.642 5.070 0.000
-1.174 0.000 2.533
Ta Ag As
1 2 1
Direct
0.000 0.000 0.000
0.000 0.500 0.500
0.500 0.000 0.500
0.500 0.500 0.000


No. 6
TaSCl3 | Alexandria via LeMat-Bulk | PBEsol | relaxed; electronic total energy = -4.734 eV/atom; relative energy among the computed polymorphs = 0.0000 eV/atom; formation energy without anion corrections = -0.14 eV per atom; DOS at the Fermi energy = 1.11 states/eV per atom; space-group type = Pm-3m (221)
1.0
4.756 0.000 0.000
0.000 4.756 0.000
0.000 0.000 4.756
Ta S Cl
1 1 3
Direct
0.000 0.000 0.000
0.500 0.500 0.500
0.000 0.000 0.500
0.000 0.500 0.000
0.500 0.000 0.000


No. 7
MgZrRhAu2 | Alexandria via LeMat-Bulk | PBEsol | relaxed; electronic total energy = -4.861 eV/atom; formation energy from the elements = 498 meV per atom; DOS at the Fermi energy = 1.12 states/eV per atom; space-group type = P4/mmm (123)
1.0
4.628 0.000 0.000
0.000 4.628 0.000
0.000 0.000 4.534
Mg Zr Rh Au
1 1 1 2
Direct
0.000 0.000 0.000
0.500 0.500 0.500
0.000 0.000 0.500
0.000 0.500 0.000
0.500 0.000 0.000


No. 8
TaBe2Fe | Alexandria via LeMat-Bulk | PBEsol | relaxed; electronic total energy = -7.419 eV/atom; relative energy among the computed polymorphs = 0.0000 eV/atom; formation energy from the elements = -41 meV per atom; DOS at the Fermi energy = 0.75 states/eV per atom; space-group type = F-43m (216)
1.0
0.000 2.811 2.811
2.811 0.000 2.811
2.811 2.811 0.000
Ta Be Fe
1 2 1
Direct
0.000 0.000 0.000
0.500 0.500 0.500
0.750 0.750 0.750
0.250 0.250 0.250


No. 9
ScSb2P | Alexandria via LeMat-Bulk | PBEsol | relaxed; electronic total energy = -5.585 eV/atom; formation energy without anion corrections = -0.21 eV per atom; DOS at the Fermi energy = 0.66 states/eV per atom; space-group type = Cmmm (65)
1.0
3.123 -3.814 0.000
3.123 3.814 0.000
0.000 0.000 3.563
Sc Sb P
1 2 1
Direct
0.000 0.000 0.000
0.000 0.500 0.500
0.500 0.000 0.500
0.500 0.500 0.000


No. 10
TaSb2Ru | Alexandria via LeMat-Bulk | PBEsol | relaxed; electronic total energy = -7.598 eV/atom; formation energy without anion corrections = 0.36 eV per atom; DOS at the Fermi energy = 0.76 states/eV per atom; space-group type = P2/m (10)
1.0
3.103 0.000 0.000
0.000 4.149 0.000
-0.526 0.000 5.874
Ta Sb Ru
1 2 1
Direct
0.000 0.000 0.000
0.359 0.500 0.748
0.641 0.500 0.252
0.500 0.000 0.500


No. 11
Na7Cu2O6 | Alexandria via LeMat-Bulk | PBEsol | relaxed; electronic total energy = -4.414 eV/atom; formation energy without anion corrections = -1.08 eV per atom; DOS at the Fermi energy = 0.33 states/eV per atom; space-group type = C2/c (15)
1.0
7.229 -2.845 0.000
7.229 2.845 0.000
-2.679 0.000 10.233
Na Cu O
14 4 12
Direct
0.072 0.928 0.750
0.186 0.261 0.803
0.239 0.425 0.594
0.261 0.186 0.303
0.303 0.579 0.350
0.421 0.697 0.150
0.425 0.239 0.094
0.575 0.761 0.906
0.579 0.303 0.850
0.697 0.421 0.650
0.739 0.814 0.697
0.761 0.575 0.406
0.814 0.739 0.197
0.928 0.072 0.250
0.002 0.246 0.038
0.246 0.002 0.538
0.754 0.998 0.462
0.998 0.754 0.962
0.003 0.345 0.582
0.133 0.674 0.129
0.149 0.605 0.809
0.326 0.867 0.371
0.345 0.003 0.082
0.395 0.851 0.691
0.605 0.149 0.309
0.655 0.997 0.918
0.674 0.133 0.629
0.851 0.395 0.191
0.867 0.326 0.871
0.997 0.655 0.418


No. 12
LiAl | Alexandria via LeMat-Bulk | PBEsol | relaxed; electronic total energy = -3.127 eV/atom; formation energy from the elements = -98 meV per atom; DOS at the Fermi energy = 0.21 states/eV per atom; space-group type = Cmcm (63)
1.0
1.421 -5.375 0.000
1.421 5.375 0.000
0.000 0.000 4.378
Li Al
2 2
Direct
0.169 0.831 0.750
0.831 0.169 0.250
0.431 0.569 0.750
0.569 0.431 0.250


Number 1: total moment 0.0 μB/f.u.. Number 2: total moment 0.0 μB/f.u.. Number 3: total moment 1.9 μB/f.u.. Number 4: total moment 0.0 μB/f.u.. Number 5: total moment 0.0 μB/f.u.. Number 6: total moment 1.5 μB/f.u.. Number 7: total moment 0.0 μB/f.u.. Number 8: total moment 0.0 μB/f.u.. Number 9: total moment 0.0 μB/f.u.. Number 10: total moment 0.0 μB/f.u.. Number 11: total moment 3.0 μB/f.u.. Number 12: total moment 0.0 μB/f.u..